No. 1
Computed, not measured: YS2I at its PBEsol-relaxed geometry at the meta-GGA SCAN level of DFT.

Cell and atoms, written as extended XYZ:
```
4
Lattice="-2.709 -2.375 3.378 -0.034 -4.937 0.112 2.218 -2.402 3.701" Properties=species:S:1:pos:R:3 pbc="T T T"
I -0.263 -4.857 3.595
Y 0.000 0.000 0.000
S -0.131 -2.428 1.798
S -0.394 -7.285 5.393
```

## Properties
Total moment (Bohr magnetons per cell): 0.000
Total DFT energy (no corrections) (eV/atom): -21.540

No. 2
Computed, not measured: ZrHgSe2 at its PBEsol-relaxed geometry at the meta-GGA SCAN level of DFT.

Cell and atoms, written as extended XYZ:
```
4
Lattice="3.737 0.000 0.000 0.000 4.156 0.000 -1.868 0.000 5.617" Properties=species:S:1:pos:R:3 pbc="T T T"
Hg 1.868 2.078 1.531
Se 0.000 0.000 1.554
Se 0.000 2.078 4.456
Zr 1.868 0.000 3.557
```

## Properties
Total moment (Bohr magnetons per cell): 0.000
Total DFT energy (no corrections) (eV/atom): -35.542

No. 3
Computed, not measured: RbP4N7 at its PBEsol-relaxed geometry at the meta-GGA SCAN level of DFT.

Cell and atoms, written as extended XYZ:
```
48
Lattice="-2.553 -0.839 -3.843 7.830 -4.331 -4.256 -3.480 -10.901 4.691" Properties=species:S:1:pos:R:3 pbc="T T T"
N 1.559 -11.154 -0.310
N 3.905 -7.164 -5.601
N 0.238 -4.917 -3.099
N -2.108 -8.907 2.192
N -0.555 -13.138 -1.816
N 5.589 -5.321 -4.742
N 1.354 -6.058 -0.248
N -2.794 -7.624 -0.012
N 2.352 -2.933 -1.593
N -3.792 -10.750 1.333
N 0.443 -10.013 -3.161
N 4.591 -8.446 -3.397
N 3.780 -14.025 -0.464
N 2.303 -4.089 -4.513
N -3.023 -5.302 -1.543
N 0.533 -8.725 -0.297
N -1.983 -2.046 -2.944
N -0.507 -11.981 1.104
N 4.820 -10.769 -1.866
N 1.264 -7.346 -3.112
N 1.177 -13.779 0.020
N 3.843 -4.684 -6.597
N -0.814 -6.781 -1.497
N -0.613 -6.897 1.256
N 0.620 -2.291 -3.429
N -2.047 -11.387 3.188
N 2.610 -9.290 -1.912
N 2.410 -9.174 -4.665
P 1.037 -12.213 0.747
P 4.854 -5.965 -6.013
P -0.074 -6.469 -3.033
P -2.224 -7.495 1.481
P 0.759 -3.858 -4.156
P -3.058 -10.106 2.604
P 1.871 -9.602 -0.376
P 4.021 -8.576 -4.889
P 6.043 -3.839 -4.437
P -0.179 -14.348 -0.871
P -2.506 -6.782 -1.317
P 0.236 -7.173 -0.192
P -4.246 -12.232 1.028
P 1.976 -1.723 -2.537
P 4.303 -9.289 -2.091
P 1.561 -8.898 -3.216
Rb 2.202 -12.478 -2.910
Rb 3.618 -5.723 -2.464
Rb -0.405 -3.593 -0.499
Rb -1.821 -10.348 -0.945
```

## Properties
Total moment (Bohr magnetons per cell): 0.000
Total DFT energy (no corrections) (eV/atom): -11.370

No. 4
Computed, not measured: TaSiHg2 at its PBEsol-relaxed geometry at the meta-GGA SCAN level of DFT.

Cell and atoms, written as extended XYZ:
```
4
Lattice="-0.284 2.760 1.168 -3.263 -1.742 3.322 5.515 -1.466 0.928" Properties=species:S:1:pos:R:3 pbc="T T T"
Hg 1.886 -0.428 5.349
Hg 1.817 0.879 2.246
Si -1.633 0.473 2.364
Ta 0.091 -1.312 3.122
```

## Properties
Total moment (Bohr magnetons per cell): 0.000
Total DFT energy (no corrections) (eV/atom): -52.735

No. 5
Computed, not measured: Tl2CrAs at its PBEsol-relaxed geometry at the meta-GGA SCAN level of DFT.

Cell and atoms, written as extended XYZ:
```
4
Lattice="4.074 0.027 0.000 -0.287 4.300 0.000 0.000 0.000 5.216" Properties=species:S:1:pos:R:3 pbc="T T T"
As -0.143 2.150 2.608
Cr 2.037 0.014 2.608
Tl 0.944 1.084 0.000
Tl 2.843 3.244 0.000
```

## Properties
Total moment (Bohr magnetons per cell): 4.272
Total DFT energy (no corrections) (eV/atom): -45.545
Energy of formation from the pure elements (eV/atom): 0.2779

No. 6
Computed, not measured: Te3Se at its PBEsol-relaxed geometry at the meta-GGA SCAN level of DFT.

Cell and atoms, written as extended XYZ:
```
4
Lattice="5.311 0.000 0.000 -1.770 5.007 0.000 -1.770 -2.504 4.336" Properties=species:S:1:pos:R:3 pbc="T T T"
Te -1.770 1.252 2.168
Te 1.770 -1.252 2.168
Te 1.770 2.504 0.000
Se 0.000 0.000 0.000
```

## Properties
Total moment (Bohr magnetons per cell): 0.001
Total DFT energy (no corrections) (eV/atom): -32.885

No. 7
Computed, not measured: KCoNi2 at its PBEsol-relaxed geometry at the meta-GGA SCAN level of DFT.

Cell and atoms, written as extended XYZ:
```
4
Lattice="-1.313 -0.118 -2.199 -2.615 -1.477 1.642 -2.854 6.554 1.352" Properties=species:S:1:pos:R:3 pbc="T T T"
Co -1.147 2.634 0.543
K -4.120 4.153 0.742
Ni -0.250 0.575 0.119
Ni -2.692 0.874 0.066
```

## Properties
Total moment (Bohr magnetons per cell): 3.151
Total DFT energy (no corrections) (eV/atom): -13.847
Energy of formation from the pure elements (eV/atom): 0.6475

No. 8
Computed, not measured: CSeS2 at its PBEsol-relaxed geometry at the meta-GGA SCAN level of DFT.

Cell and atoms, written as extended XYZ:
```
4
Lattice="4.504 0.000 0.000 2.252 3.900 0.000 2.252 1.300 5.562" Properties=species:S:1:pos:R:3 pbc="T T T"
S 6.755 3.900 1.565
S 2.252 1.300 3.998
C 0.000 0.000 0.000
Se 4.504 2.600 2.781
```

## Properties
Total moment (Bohr magnetons per cell): 0.048
Total DFT energy (no corrections) (eV/atom): -11.580

No. 9
Computed, not measured: Ge2AuI at its PBEsol-relaxed geometry at the meta-GGA SCAN level of DFT.

Cell and atoms, written as extended XYZ:
```
4
Lattice="-2.593 -4.085 -1.031 0.033 -3.812 3.152 -4.057 -1.081 2.617" Properties=species:S:1:pos:R:3 pbc="T T T"
I 0.000 0.000 0.000
Ge -1.654 -2.244 1.185
Ge -4.963 -6.733 3.554
Au -3.309 -4.489 2.369
```

## Properties
Total moment (Bohr magnetons per cell): 0.000
Total DFT energy (no corrections) (eV/atom): -35.410

No. 10
Computed, not measured: GdP4H4NO12 at its PBEsol-relaxed geometry at the meta-GGA SCAN level of DFT.

Cell and atoms, written as extended XYZ:
```
88
Lattice="-7.533 -0.579 -5.003 5.636 -3.037 -8.136 0.541 -10.790 0.434" Properties=species:S:1:pos:R:3 pbc="T T T"
Gd 3.627 -5.249 -9.424
Gd -2.863 -5.313 -7.850
Gd -4.983 -9.157 -3.282
Gd 1.507 -9.093 -4.855
P 0.658 -4.832 -7.203
P -1.915 -5.885 -11.414
P 1.491 -5.376 -4.442
P -0.717 -2.607 -8.528
P -2.847 -9.030 -8.263
P 0.560 -8.521 -1.291
P -0.638 -11.799 -4.177
P -2.708 -10.738 -10.662
P -5.468 -6.653 -5.706
P 4.113 -7.753 -6.999
P 1.070 -10.841 -8.133
P 3.401 -12.380 -9.076
P -2.426 -3.565 -4.573
P 1.352 -3.668 -2.043
P -2.013 -9.574 -5.502
P -4.756 -2.026 -3.629
H -4.576 -10.948 -7.187
H 0.907 -7.973 -8.334
H 3.283 -12.617 -5.450
H -4.639 -1.789 -7.255
H -2.113 -7.549 -3.083
H -2.263 -6.433 -4.371
H -0.623 -7.549 -8.883
H -0.733 -6.857 -3.822
H 3.220 -3.458 -5.518
H -1.768 -5.854 -2.902
H -2.650 -13.614 -10.531
H 3.298 -2.866 -7.122
H 0.757 -6.857 -9.622
H 1.295 -0.792 -2.174
H -4.654 -11.539 -5.583
H 0.412 -8.552 -9.804
N -4.739 -11.794 -6.599
N 0.369 -7.721 -9.183
N 3.383 -2.612 -6.106
N -1.725 -6.685 -3.522
O 0.340 -2.595 -1.805
O 2.451 -11.665 -7.994
O -4.307 -6.618 -6.646
O -3.329 -9.076 -5.001
O -2.153 -3.851 -3.121
O -2.347 -7.618 -8.281
O 0.784 -4.642 -3.198
O -1.695 -11.811 -10.900
O -0.385 -6.036 -11.904
O 3.725 -13.729 -8.511
O -2.254 -7.445 -11.334
O -2.070 -3.115 -8.140
O -2.481 -4.721 -5.519
O -1.925 -5.287 -10.046
O 2.951 -7.788 -6.059
O -1.594 -0.986 -3.176
O 0.436 -3.315 -7.655
O -3.807 -2.741 -4.712
O 0.570 -9.119 -2.660
O -4.313 -9.350 -8.219
O -2.132 -9.851 -7.087
O 1.973 -5.330 -7.704
O 0.797 -10.555 -9.585
O -0.970 -8.370 -0.801
O 0.898 -6.960 -1.372
O -2.140 -9.764 -9.507
O 4.809 -4.656 -7.490
O 0.239 -13.420 -9.530
O 4.844 -9.189 -6.951
O -1.792 -11.091 -5.050
O -0.783 -8.766 -5.227
O -2.790 -9.178 -2.327
O 0.715 -11.291 -4.566
O -0.005 -11.892 -7.543
O 3.419 -10.573 -5.323
O 0.777 -4.555 -5.618
O -5.253 -7.041 -4.277
O -4.774 -3.833 -7.382
O 1.434 -5.228 -10.379
O -0.573 -5.640 -7.478
O -6.165 -9.750 -5.216
O 3.898 -7.365 -8.428
O 1.125 -9.685 -7.186
O -6.200 -5.217 -5.755
O -5.081 -0.677 -4.194
O 2.958 -5.055 -4.486
O -1.351 -2.514 -5.162
O 0.992 -6.788 -4.424
```

## Properties
Total moment (Bohr magnetons per cell): 27.661
Total DFT energy (no corrections) (eV/atom): -11.216

No. 11
Computed, not measured: Tb4C2Br3 at its PBEsol-relaxed geometry at the meta-GGA SCAN level of DFT.

Cell and atoms, written as extended XYZ:
```
36
Lattice="-1.598 3.180 -0.862 2.111 -1.727 -10.288 -17.675 -9.437 -2.042" Properties=species:S:1:pos:R:3 pbc="T T T"
Tb -16.156 -7.398 -9.006
Tb -1.007 -0.586 -4.186
Tb -6.011 -4.685 -10.030
Tb -11.151 -3.299 -3.162
Tb -13.216 -5.821 -8.640
Tb -3.946 -2.163 -4.552
Tb -3.061 -3.117 -9.715
Tb -14.101 -4.867 -3.476
Tb -5.719 -1.848 -7.881
Tb -11.443 -6.136 -5.310
Tb -13.282 -8.545 -10.789
Tb -3.880 0.561 -2.403
Tb -2.911 -0.261 -7.237
Tb -14.252 -7.723 -5.955
Tb -10.345 -7.064 -10.770
Tb -6.817 -0.920 -2.422
C -12.583 -6.201 -11.215
C -4.579 -1.783 -1.977
C -3.490 -2.628 -7.117
C -13.673 -5.356 -6.075
C -5.441 -2.371 -10.330
C -11.722 -5.613 -2.861
C -13.998 -8.255 -8.390
C -3.164 0.271 -4.801
Br -16.054 -8.071 -11.677
Br -1.109 0.086 -1.515
Br -6.984 -4.478 -7.460
Br -10.178 -3.506 -5.732
Br -9.019 -4.265 -10.683
Br -8.144 -3.719 -2.509
Br 0.123 -0.732 -6.820
Br -17.286 -7.252 -6.372
Br -1.856 -0.452 -9.895
Br -15.307 -7.533 -3.297
Br -10.405 -6.342 -7.997
Br -6.758 -1.642 -5.195
```

## Properties
Total moment (Bohr magnetons per cell): 0.000
Total DFT energy (no corrections) (eV/atom): -30.859

No. 12
Computed, not measured: CdAg2Sb at its PBEsol-relaxed geometry at the meta-GGA SCAN level of DFT.

Cell and atoms, written as extended XYZ:
```
4
Lattice="-2.562 -0.138 1.867 -2.889 -0.261 -1.287 -1.120 -9.243 0.477" Properties=species:S:1:pos:R:3 pbc="T T T"
Sb 0.000 0.000 0.000
Ag -1.637 -2.485 0.267
Ag -4.934 -7.158 0.791
Cd -3.286 -4.821 0.529
```

## Properties
Total moment (Bohr magnetons per cell): 0.000
Total DFT energy (no corrections) (eV/atom): -32.503

No. 13
Computed, not measured: MgAg at its PBEsol-relaxed geometry at the meta-GGA SCAN level of DFT.

Cell and atoms, written as extended XYZ:
```
4
Lattice="3.418 0.000 0.000 0.000 3.418 0.000 0.000 0.000 6.264" Properties=species:S:1:pos:R:3 pbc="T T T"
Mg 1.709 0.000 4.098
Mg 0.000 1.709 2.166
Ag 1.709 0.000 0.777
Ag 0.000 1.709 5.487
```

## Properties
Total moment (Bohr magnetons per cell): 0.000
Total DFT energy (no corrections) (eV/atom): -18.346
Energy of formation from the pure elements (eV/atom): -0.1758

No. 14
Computed, not measured: YZrIn2 at its PBEsol-relaxed geometry at the meta-GGA SCAN level of DFT.

Cell and atoms, written as extended XYZ:
```
4
Lattice="3.248 0.000 0.031 0.000 5.328 0.000 -0.051 0.000 5.336" Properties=species:S:1:pos:R:3 pbc="T T T"
In 2.796 0.000 4.799
In 2.824 2.664 1.915
Y 1.198 0.000 2.119
Zr 1.173 2.664 4.584
```

## Properties
Total moment (Bohr magnetons per cell): 0.000
Total DFT energy (no corrections) (eV/atom): -31.783
Energy of formation from the pure elements (eV/atom): -0.4539

No. 15
Computed, not measured: Li3V4O8 at its PBEsol-relaxed geometry at the meta-GGA SCAN level of DFT.

Cell and atoms, written as extended XYZ:
```
30
Lattice="-0.179 -3.146 -4.724 1.644 -2.558 5.054 -9.827 0.313 0.164" Properties=species:S:1:pos:R:3 pbc="T T T"
Li -9.183 -4.081 -2.053
Li -4.181 -2.665 0.226
Li 0.785 -3.019 3.687
Li -4.218 -4.434 1.407
Li -4.143 -0.915 -0.940
Li -9.147 -2.331 -3.220
V -6.652 -3.464 -0.925
V -6.559 -1.826 1.534
V -4.160 -1.147 2.628
V -0.946 -4.807 1.531
V -5.771 -3.077 3.974
V -1.648 -2.048 1.356
V -1.734 -3.556 -0.909
V 0.664 -2.876 0.184
O -0.887 -1.907 -0.403
O -5.890 -3.323 -2.683
O -2.471 -1.984 3.122
O -7.474 -3.400 0.841
O -0.079 -3.040 1.994
O -5.082 -4.456 -0.286
O -2.532 -3.735 0.877
O -7.356 -2.005 3.320
O -0.166 -4.583 -0.321
O -4.991 -2.852 2.122
O -1.077 -3.420 -2.800
O -5.902 -1.690 -0.358
O -3.339 -2.609 -1.655
O -8.164 -0.880 0.788
O -3.244 -0.938 0.854
O -8.247 -2.354 -1.426
```

## Properties
Total moment (Bohr magnetons per cell): 14.007
Total DFT energy (no corrections) (eV/atom): -11.002

No. 16
Computed, not measured: Sr2MoSe at its PBEsol-relaxed geometry at the meta-GGA SCAN level of DFT.

Cell and atoms, written as extended XYZ:
```
4
Lattice="-2.343 3.259 1.481 -2.342 0.122 -3.973 -2.597 -3.727 4.095" Properties=species:S:1:pos:R:3 pbc="T T T"
Mo -2.517 -1.249 -1.233
Se -2.873 1.174 -0.949
Sr -4.796 -3.466 0.042
Sr -3.203 -0.347 1.878
```

## Properties
Total moment (Bohr magnetons per cell): 2.317
Total DFT energy (no corrections) (eV/atom): -24.995

No. 17
Computed, not measured: BaNa2Bi2 at its PBEsol-relaxed geometry at the meta-GGA SCAN level of DFT.

Cell and atoms, written as extended XYZ:
```
5
Lattice="-3.837 -2.784 1.475 0.951 -3.239 -3.641 5.673 -0.553 5.358" Properties=species:S:1:pos:R:3 pbc="T T T"
Na 2.590 -3.402 0.317
Na 0.196 -3.174 2.875
Bi 3.320 -2.798 3.356
Bi -0.533 -3.778 -0.163
Ba 0.000 0.000 0.000
```

## Properties
Total moment (Bohr magnetons per cell): 0.000
Total DFT energy (no corrections) (eV/atom): -41.648
Energy of formation from the pure elements (eV/atom): -0.6204

No. 18
Computed, not measured: Mg3As2O8 at its PBEsol-relaxed geometry at the meta-GGA SCAN level of DFT.

Cell and atoms, written as extended XYZ:
```
26
Lattice="6.054 0.000 0.000 -3.027 5.659 0.000 0.000 0.000 8.243" Properties=species:S:1:pos:R:3 pbc="T T T"
Mg 1.514 1.578 2.061
Mg -1.514 4.081 6.182
Mg 3.027 0.000 4.121
Mg 0.000 0.000 0.000
Mg 1.514 4.081 6.182
Mg 4.541 1.578 2.061
As 3.027 1.359 7.293
As 0.000 4.301 0.950
As 3.027 4.301 3.172
As 0.000 1.359 5.071
O -1.414 4.313 8.238
O 1.613 1.347 0.005
O -1.613 4.313 4.127
O 1.414 1.347 4.116
O 3.027 0.016 2.057
O 3.027 5.644 6.179
O 3.027 2.878 2.235
O 3.027 2.782 6.356
O 0.000 2.782 6.008
O 0.000 2.878 1.887
O 0.000 0.016 2.064
O 0.000 5.644 6.186
O 1.613 4.313 4.127
O 4.641 1.347 4.116
O 1.414 4.313 8.238
O 4.441 1.347 0.005
```

## Properties
Total moment (Bohr magnetons per cell): 0.000
Total DFT energy (no corrections) (eV/atom): -10.334